1.
The following is a PBE calculation of crystalline TaSi4Sb at its relaxed geometry, from Alexandria.

Electronic total energy = -5.8827 eV/atom
Symmetry = No. 216

Cell lengths 5.151, 5.151, 5.151 Å; angles 60.00, 60.00, 60.00 degrees
Atoms (fractional coordinates):
Ta1 0.000 0.000 0.000
Si1 0.375 0.375 0.375
Si2 0.375 0.375 0.876
Si3 0.375 0.876 0.375
Si4 0.876 0.375 0.375
Sb1 0.750 0.750 0.750

2.
The following is a PBE calculation of crystalline LaSi2Os2 at its relaxed geometry, from Alexandria.

Electronic total energy = -7.7804 eV/atom
Symmetry = No. 127

Cell lengths 7.541, 7.541, 2.913 Å; angles 90.00, 90.00, 90.00 degrees
Atoms (fractional coordinates):
La1 0.000 0.000 0.000
La2 0.500 0.500 0.000
Si1 0.132 0.368 0.000
Si2 0.368 0.868 0.000
Si3 0.632 0.132 0.000
Si4 0.868 0.632 0.000
Os1 0.144 0.644 0.500
Os2 0.356 0.144 0.500
Os3 0.644 0.856 0.500
Os4 0.856 0.356 0.500

3.
The following is a PBE calculation of crystalline LiTlW2 at its relaxed geometry, from Alexandria.

Energy of formation from the pure elements = 43.50 kJ/mol of atoms
Energy relative to the lowest polymorph listed for this composition = 21.5 meV/atom
Symmetry = No. 35

Cell lengths 2.914, 2.914, 9.300 Å; angles 90.00, 90.00, 112.00 degrees
Atoms (fractional coordinates):
Li1 0.000 0.000 0.000
Tl1 0.500 0.500 0.744
W1 0.000 0.000 0.463
W2 0.500 0.500 0.248

4.
The following is a PBE calculation of crystalline BaMoP2Cl at its relaxed geometry, from Alexandria.

Energy relative to the lowest polymorph listed for this composition = 1951.3 meV/atom
Symmetry = No. 123

Cell lengths 6.190, 6.190, 5.717 Å; angles 90.00, 90.00, 90.00 degrees
Atoms (fractional coordinates):
Ba1 0.000 0.000 0.000
Mo1 0.500 0.500 0.500
P1 0.000 0.500 0.000
P2 0.500 0.000 0.000
Cl1 0.000 0.000 0.500

5.
The following is a PBE calculation of crystalline Ho2GeBi at its relaxed geometry, from Alexandria.

Energy of formation from the pure elements = -56.69 kJ/mol of atoms
Energy relative to the lowest polymorph listed for this composition = 181.1 meV/atom
Symmetry = No. 160

Cell lengths 8.143, 8.143, 8.143 Å; angles 29.33, 29.33, 29.33 degrees
Atoms (fractional coordinates):
Ho1 0.000 0.000 0.000
Ho2 0.154 0.154 0.154
Ge1 0.409 0.409 0.409
Bi1 0.579 0.579 0.579

6.
The following is a PBE calculation of crystalline Sm12Ho5Th at its relaxed geometry, from Alexandria.

Energy of formation from the pure elements = 2.33 kJ/mol of atoms
Symmetry = No. 65

Cell lengths 10.794, 10.794, 5.092 Å; angles 90.00, 90.00, 90.13 degrees
Atoms (fractional coordinates):
Sm1 0.001 0.331 0.500
Sm2 0.164 0.836 0.000
Sm3 0.169 0.499 0.000
Sm4 0.331 0.001 0.500
Sm5 0.335 0.665 0.500
Sm6 0.499 0.169 0.000
Sm7 0.501 0.831 0.000
Sm8 0.665 0.335 0.500
Sm9 0.669 0.999 0.500
Sm10 0.831 0.501 0.000
Sm11 0.836 0.164 0.000
Sm12 0.999 0.669 0.500
Ho1 0.164 0.164 0.000
Ho2 0.333 0.333 0.500
Ho3 0.500 0.500 0.000
Ho4 0.667 0.667 0.500
Ho5 0.836 0.836 0.000
Th1 0.000 0.000 0.500